# Ac2AlCd3Ga4 | Alexandria | GGA-PBE | relaxed
# **Crystal system**: tetragonal
# **ΔH_f (0 K)**: -0.386 eV/atom
# **Calculated total energy**: -3.0670 eV per atom
data_Ac2AlCd3Ga4
_chemical_formula_sum 'Ac2 Al1 Cd3 Ga4'
_space_group_name_H-M_alt 'P -4 m 2'
_space_group_IT_number 115
_cell_length_a 4.618
_cell_length_b 4.618
_cell_length_c 11.182
_cell_angle_alpha 90.00
_cell_angle_beta 90.00
_cell_angle_gamma 90.00
loop_
_space_group_symop_operation_xyz
'x,y,z'
'y,-x,-z'
'-x,-y,z'
'-y,x,-z'
'-x,y,z'
'-y,-x,-z'
'x,-y,z'
'y,x,-z'
loop_
_atom_site_label
_atom_site_type_symbol
_atom_site_fract_x
_atom_site_fract_y
_atom_site_fract_z
_atom_site_occupancy
Ac1 Ac 0.000 0.500 0.248 1
Al1 Al 0.500 0.500 0.000 1
Cd1 Cd 0.000 0.000 0.000 1
Cd2 Cd 0.000 0.500 0.632 1
Ga1 Ga 0.000 0.000 0.500 1
Ga2 Ga 0.000 0.500 0.869 1
Ga3 Ga 0.500 0.500 0.500 1

---

# Cs2NbBCl6 | Alexandria | GGA-PBE | relaxed
# **Crystal system**: cubic
# **Calculated total energy**: -3.9185 eV per atom
# **Formation energy from raw total energies**: -965 meV per atom
data_Cs2NbBCl6
_chemical_formula_sum 'Cs8 Nb4 B4 Cl24'
_space_group_name_H-M_alt 'F m -3 m'
_space_group_IT_number 225
_space_group_name_Hall '-F 4 2 3'
_cell_length_a 10.431
_cell_length_b 10.431
_cell_length_c 10.431
_cell_angle_alpha 90.00
_cell_angle_beta 90.00
_cell_angle_gamma 90.00
loop_
_atom_site_label
_atom_site_type_symbol
_atom_site_fract_x
_atom_site_fract_y
_atom_site_fract_z
_atom_site_occupancy
Cs1 Cs 0.250 0.250 0.250 1
Nb1 Nb 0.000 0.000 0.000 1
B1 B 0.000 0.000 0.500 1
Cl1 Cl 0.000 0.000 0.241 1

---

# Tb2BeGa | Alexandria | GGA-PBE | relaxed
# **Crystal system**: tetragonal
# **ΔH_f (0 K)**: -0.243 eV/atom
# **Calculated total energy**: -4.2464 eV per atom
data_Tb2BeGa
_chemical_formula_sum 'Tb2 Be1 Ga1'
_space_group_name_H-M_alt 'P 4/m m m'
_space_group_IT_number 123
_space_group_name_Hall '-P 4 2'
_cell_length_a 3.492
_cell_length_b 3.492
_cell_length_c 7.072
_cell_angle_alpha 90.00
_cell_angle_beta 90.00
_cell_angle_gamma 90.00
loop_
_atom_site_label
_atom_site_type_symbol
_atom_site_fract_x
_atom_site_fract_y
_atom_site_fract_z
_atom_site_occupancy
Tb1 Tb 0.000 0.000 0.234 1
Be1 Be 0.500 0.500 0.000 1
Ga1 Ga 0.500 0.500 0.500 1

---

Across the entries above, Fermi-level density of states takes the values 1.49; 40.26; 2.63 states/eV per cell, respectively.